BaLiCaZn: optimized geometry, PBE-GGA.

Results
ΔE_f, meV/atom: -39.6
Magnetization, μB per atom: 0.000
Calculated volume, A^3/atom: 35.918
ΔE to the lowest computed polymorph, eV/atom: 0.0230

Geometry as CIF:
```
data_BaLiCaZn
_chemical_formula_sum 'Ba2 Li2 Ca2 Zn2'
_symmetry_space_group_name_H-M 'C 1 m 1'
_symmetry_Int_Tables_number 8
_cell_length_a 8.061
_cell_length_b 4.665
_cell_length_c 8.103
_cell_angle_alpha 90.00
_cell_angle_beta 109.44
_cell_angle_gamma 90.00
loop_
_symmetry_equiv_pos_as_xyz
'x,y,z'
'x,-y,z'
'x+1/2,y+1/2,z'
'x+1/2,-y+1/2,z'
loop_
_atom_site_label
_atom_site_type_symbol
_atom_site_fract_x
_atom_site_fract_y
_atom_site_fract_z
_atom_site_occupancy
Ba1 Ba 0.000 0.000 0.000 1
Li1 Li 0.438 0.000 0.314 1
Ca1 Ca 0.183 0.000 0.549 1
Zn1 Zn 0.271 0.500 0.312 1
```